A relaxed structure of AgBrO2, computed with GGA-PBE.

extended XYZ file:
```
4
Lattice="0.312 -0.767 4.123 -2.392 2.134 2.723 -3.134 -1.945 2.020" Properties=species:S:1:pos:R:3 pbc="T T T"
Ag -2.607 -0.289 4.433
O -3.911 -0.434 6.649
Br 0.000 0.000 0.000
O -1.304 -0.145 2.216
```

Results
E_form (uncorrected) = 0.904 eV per atom
Crystal system = cubic

---

A relaxed structure of NdAl2GePd2, computed with GGA-PBE.

extended XYZ file:
```
6
Lattice="-1.616 -2.876 -3.332 -1.259 -3.099 3.286 -5.116 2.459 0.359" Properties=species:S:1:pos:R:3 pbc="T T T"
Pd -5.259 -1.151 0.245
Al -0.808 -1.438 -1.666
Ge 0.000 0.000 0.000
Pd -2.732 -2.366 0.068
Al -0.629 -1.550 1.643
Nd -2.558 1.229 0.180
```

Results
Energy relative to the elements = -21 kJ/mol of atoms
Crystal system = tetragonal

---

A relaxed structure of OsPdSN, computed with GGA-PBE.

extended XYZ file:
```
8
Lattice="5.885 0.000 -0.034 0.000 3.005 0.000 -0.686 0.000 6.848" Properties=species:S:1:pos:R:3 pbc="T T T"
Pd 1.244 0.000 4.346
Os 4.632 0.000 6.705
Os 4.975 1.503 3.281
S 4.033 1.503 1.195
N 0.905 1.503 2.844
N 0.562 0.000 6.268
S 3.690 0.000 4.619
Pd 1.586 1.503 0.922
```

Results
E_form (uncorrected) = 0.433 eV per atom
Energy above the lowest structure with this stoichiometry = 255.3 meV per atom
Crystal system = monoclinic

---

A relaxed structure of Si2H5Pd12, computed with GGA-PBE.

extended XYZ file:
```
19
Lattice="5.678 0.000 0.000 -2.839 6.079 -0.121 0.000 -2.394 6.739" Properties=species:S:1:pos:R:3 pbc="T T T"
Pd 4.256 2.125 1.041
Pd 1.417 1.559 5.577
H 2.839 2.588 2.288
H 0.000 -1.197 3.370
Pd 0.000 4.696 1.242
Si 1.434 0.000 0.000
Pd 1.422 2.125 1.041
Pd 0.000 -0.997 5.406
Pd 1.430 3.410 3.471
Pd -1.430 3.410 3.471
Pd 4.269 0.275 3.147
Pd 1.409 0.275 3.147
Si 4.245 0.000 0.000
H 0.000 1.097 4.330
Pd 2.839 -1.011 5.376
Pd 2.839 4.682 1.213
H 0.000 2.854 2.379
Pd -1.417 1.559 5.577
H 2.839 0.830 4.239
```

Results
Raw total energy = -4.92 eV per atom
Crystal system = monoclinic

---

no.,spin magnetization (μB/f.u.)
1,0.00
2,0.00
3,0.00
4,0.00